# 1
Cs2CeBr7 | PBE | relaxed

Cell lengths 8.655, 8.655, 8.655 Å; angles 60.00, 60.00, 60.00 degrees
Atoms (fractional coordinates):
Cs  0.250  0.250  0.250
Cs  0.750  0.750  0.750
Ce  0.000  0.000  0.000
Br  0.228  0.228  0.772
Br  0.228  0.772  0.228
Br  0.228  0.772  0.772
Br  0.500  0.500  0.500
Br  0.772  0.228  0.228
Br  0.772  0.228  0.772
Br  0.772  0.772  0.228

energy relative to the elements, uncorrected	-14.19	eV per formula unit

# 2
BaDy4Tl3O12 | PBE | relaxed

Cell lengths 7.380, 7.380, 7.380 Å; angles 109.47, 109.47, 109.47 degrees
Atoms (fractional coordinates):
Ba  0.000  0.000  0.000
Dy  0.000  0.000  0.500
Dy  0.000  0.500  0.000
Dy  0.500  0.000  0.000
Dy  0.500  0.500  0.500
Tl  0.000  0.500  0.500
Tl  0.500  0.000  0.500
Tl  0.500  0.500  0.000
O  0.134  0.308  0.826
O  0.174  0.482  0.308
O  0.174  0.866  0.692
O  0.308  0.174  0.482
O  0.308  0.826  0.134
O  0.482  0.308  0.174
O  0.518  0.692  0.826
O  0.692  0.174  0.866
O  0.692  0.826  0.518
O  0.826  0.134  0.308
O  0.826  0.518  0.692
O  0.866  0.692  0.174

energy relative to the elements, uncorrected	-44.65	eV per formula unit

# 3
SrInGaAg3 | PBE | relaxed

Cell lengths 7.332, 7.332, 6.902 Å; angles 90.00, 90.00, 128.68 degrees
Atoms (fractional coordinates):
Sr  0.198  0.802  0.750
Sr  0.802  0.198  0.250
In  0.145  0.855  0.250
In  0.855  0.145  0.750
Ga  0.430  0.570  0.750
Ga  0.570  0.430  0.250
Ag  0.223  0.223  0.000
Ag  0.223  0.223  0.500
Ag  0.360  0.640  0.250
Ag  0.640  0.360  0.750
Ag  0.777  0.777  0.000
Ag  0.777  0.777  0.500

final energy	-2.7990	eV/atom

# 4
Tb6Te2AsSe3 | PBE | relaxed

Cell lengths 9.391, 9.391, 8.462 Å; angles 102.54, 102.54, 25.63 degrees
Atoms (fractional coordinates):
Tb  0.006  0.006  0.264
Tb  0.340  0.340  0.435
Tb  0.344  0.344  0.893
Tb  0.656  0.656  0.107
Tb  0.660  0.660  0.565
Tb  0.994  0.994  0.736
Te  0.169  0.169  0.841
Te  0.831  0.831  0.159
As  0.500  0.500  0.500
Se  0.171  0.171  0.341
Se  0.500  0.500  0.000
Se  0.829  0.829  0.659

energy relative to the elements, uncorrected	-19.27	eV per formula unit

no.,density of states at the Fermi level (states/eV per atom)
1,0.8383
2,0.6229
3,0.2623
4,0.3753